The following is a PBE calculation of Pm4NdTh2 after structural relaxation, from Alexandria.

Lattice parameters (Å, degrees): 6.284 9.614 6.296 139.82 80.49 89.97
Fractional positions:
Pm 0.511 0.637 0.415
Pm 0.360 0.218 0.291
Pm 0.215 0.786 0.142
Pm 0.069 0.354 0.994
Th 0.648 0.069 0.560
Th 0.780 0.503 0.727
Nd 0.917 0.934 0.870

Results
The size of the total moment is 0.0 μB per cell. The calculated formation energy comes out at 0.0555 eV per atom. Its density of states at the Fermi level is 10.344 states/eV/cell.